Density functional theory data (PBE) for a relaxed TaMn2Fe crystal.

a = 4.1842 Å, b = 4.1842 Å, c = 4.1842 Å
α = 60.00°, β = 60.00°, γ = 60.00°
Sites, in units of the cell vectors:
Mn 0.2500 0.2500 0.2500
Mn 0.0000 0.0000 0.0000
Fe 0.5000 0.5000 0.5000
Ta 0.7500 0.7500 0.7500

Space-group type ... F-43m, No. 216
Calculated formation energy ... -0.01 eV/atom
Total energy ... -0.7113 Ry per atom

***

Density functional theory data (PBE) for a relaxed Sm2HoPaCo2 crystal.

a = 6.7505 Å, b = 6.8241 Å, c = 7.9862 Å
α = 115.29°, β = 115.00°, γ = 90.00°
Sites, in units of the cell vectors:
Sm 0.6995 0.9133 0.3990
Ho 0.7500 0.0000 0.0000
Ho 0.2500 0.0000 0.0000
Pa 0.2500 0.5000 0.0000
Co 0.4130 0.6216 0.8261
Co 0.5870 0.3784 0.1739
Co 0.9130 0.2045 0.8261
Sm 0.8005 0.5143 0.6010
Pa 0.7500 0.5000 0.0000
Sm 0.3005 0.0867 0.6010
Co 0.0870 0.7955 0.1739
Sm 0.1995 0.4857 0.3990

Space-group type ... Ibam, No. 72
Calculated formation energy ... -0.20 eV/atom
Total energy ... -0.4770 Ry per atom

***

Density functional theory data (PBE) for a relaxed InH2S crystal.

a = 5.5303 Å, b = 3.8281 Å, c = 7.0073 Å
α = 77.00°, β = 65.17°, γ = 43.72°
Sites, in units of the cell vectors:
S 0.8059 0.8736 0.1853
In 0.3066 0.8734 0.1847
H 0.7621 0.4360 0.6454
H 0.8244 0.2430 0.7233

Offset from the most stable computed form ... 0 meV/atom
Space-group type ... P1, No. 1
Total energy ... -0.2577 Ry per atom

***

Density functional theory data (PBE) for a relaxed BiTeS3 crystal.

a = 7.6859 Å, b = 8.9743 Å, c = 9.9470 Å
α = 90.00°, β = 119.44°, γ = 90.00°
Sites, in units of the cell vectors:
Te 0.5017 0.7045 0.9491
Bi 0.3971 0.8563 0.3213
S 0.7687 0.8506 0.9455
Bi 0.1029 0.3563 0.1787
Te 0.4983 0.2955 0.0509
S 0.2086 0.8416 0.7888
S 0.7313 0.3506 0.5545
S 0.2687 0.6494 0.4455
S 0.7689 0.4160 0.9331
Bi 0.6029 0.1437 0.6787
Bi 0.8971 0.6437 0.8213
S 0.2311 0.5840 0.0669
Te 0.0017 0.7955 0.4491
Te 0.9983 0.2045 0.5509
S 0.7914 0.1584 0.2112
S 0.2313 0.1494 0.0545
S 0.2689 0.0840 0.4331
S 0.7311 0.9160 0.5669
S 0.2914 0.3416 0.7112
S 0.7086 0.6584 0.2888

Offset from the most stable computed form ... 0 meV/atom
Space-group type ... P2_1/c, No. 14
ΔE_f (raw) ... -39 meV/atom
Total energy ... -0.2881 Ry per atom

***

Density functional theory data (PBE) for a relaxed NaErS crystal.

a = 3.6886 Å, b = 3.6903 Å, c = 13.7219 Å
α = 90.00°, β = 90.00°, γ = 119.99°
Sites, in units of the cell vectors:
Er 0.6098 0.2196 0.3686
Na 0.2791 0.5582 0.8817
Na 0.2791 0.5582 0.1183
S 0.6123 0.2247 0.0000
S 0.2765 0.5530 0.5000
Er 0.6098 0.2196 0.6314

Space-group type ... Amm2, No. 38
ΔE_f (raw) ... -682 meV/atom
Total energy ... -0.2954 Ry per atom

***

Density functional theory data (PBE) for a relaxed SmAl2Ge2 crystal.

a = 4.0964 Å, b = 9.4965 Å, c = 10.9203 Å
α = 90.00°, β = 90.00°, γ = 90.00°
Sites, in units of the cell vectors:
Al 0.2500 0.0719 0.0956
Ge 0.7500 0.1758 0.0004
Al 0.7500 0.4280 0.0433
Sm 0.2500 0.7839 0.7028
Al 0.2500 0.0720 0.5433
Al 0.2500 0.5720 0.9567
Ge 0.2500 0.8242 0.9996
Sm 0.7500 0.2161 0.2972
Ge 0.2500 0.9510 0.3054
Ge 0.7500 0.5490 0.8054
Al 0.7500 0.4281 0.5956
Ge 0.7500 0.6758 0.4996
Al 0.7500 0.9280 0.4567
Ge 0.2500 0.3242 0.5004
Ge 0.2500 0.4510 0.1946
Al 0.7500 0.9281 0.9044
Ge 0.7500 0.0490 0.6946
Sm 0.2500 0.2839 0.7972
Al 0.2500 0.5719 0.4044
Sm 0.7500 0.7161 0.2028

Space-group type ... Pnma, No. 62
Calculated formation energy ... -0.34 eV/atom
Total energy ... -0.3398 Ry per atom

***

Density functional theory data (PBE) for a relaxed LiTiO2 crystal.

a = 2.5769 Å, b = 2.5769 Å, c = 5.3434 Å
α = 90.00°, β = 90.00°, γ = 90.00°
Sites, in units of the cell vectors:
O 0.0000 0.0000 0.2241
Ti 0.5000 0.5000 0.0000
Li 0.5000 0.5000 0.5000
O 0.0000 0.0000 0.7759

Space-group type ... P4/mmm, No. 123
ΔE_f (raw) ... -2200 meV/atom
Total energy ... -0.5241 Ry per atom